The following is a DFT calculation (GGA-PBE) of an optimized crystal structure of Cd3NiCl.

E above lowest polymorph in meV/atom: 0
Total moment in μB/f.u.: 0.00
ΔE_f (raw) in meV per atom: 3

Lattice parameters (Å, degrees): 5.0393 5.0393 5.0393 90.00 90.00 90.00
Sites, in units of the cell vectors:
Cd  0.0000  0.0000  0.5000
Cd  0.0000  0.5000  0.0000
Cd  0.5000  0.0000  0.0000
Ni  0.0000  0.0000  0.0000
Cl  0.5000  0.5000  0.5000



The following is a DFT calculation (GGA-PBE) of an optimized crystal structure of SrZnGa3Cu.

Total moment in μB/f.u.: 0.00
Formation enthalpy at 0 K in eV per atom: -0.065

Lattice parameters (Å, degrees): 6.8793 6.8793 6.5363 90.00 90.00 122.43
Sites, in units of the cell vectors:
Sr  0.2181  0.7819  0.7500
Sr  0.7819  0.2181  0.2500
Zn  0.4664  0.5336  0.7500
Zn  0.5336  0.4664  0.2500
Ga  0.2068  0.2068  0.0000
Ga  0.2068  0.2068  0.5000
Ga  0.3277  0.6723  0.2500
Ga  0.6723  0.3277  0.7500
Ga  0.7932  0.7932  0.0000
Ga  0.7932  0.7932  0.5000
Cu  0.1244  0.8756  0.2500
Cu  0.8756  0.1244  0.7500



The following is a DFT calculation (GGA-PBE) of an optimized crystal structure of LiAl5.

E above lowest polymorph in meV/atom: 46
Total moment in μB/f.u.: 0.00
Formation enthalpy at 0 K in eV per atom: -0.013

Lattice parameters (Å, degrees): 2.8787 2.8787 13.8763 90.00 90.00 120.00
Sites, in units of the cell vectors:
Li  0.0000  0.0000  0.0000
Al  0.0000  0.0000  0.3301
Al  0.0000  0.0000  0.6699
Al  0.6667  0.3333  0.1651
Al  0.6667  0.3333  0.5000
Al  0.6667  0.3333  0.8349